1.
TmBe2SiRh4 | PBE-GGA | optimized geometry

POSCAR file:
```
TmBe2SiRh4
1.0
4.1837 0.0000 0.0000
2.0919 3.6232 0.0000
2.0919 1.2077 7.1606
Tm Be Si Rh
1 2 1 4
direct
0.0000 0.0000 0.0000
0.7545 0.7545 0.7364
0.2455 0.2455 0.2636
0.5000 0.5000 0.5000
0.3898 0.3898 0.8306
0.8684 0.8684 0.3950
0.1316 0.1316 0.6050
0.6102 0.6102 0.1694
```

N(E_F) in states/eV per atom: 0.2421
Formation energy (no corrections) in eV/atom: -0.73
E in eV/atom: -6.58



2.
Ca2TlAgAu | PBE-GGA | optimized geometry

POSCAR file:
```
Ca2TlAgAu
1.0
4.6579 0.0000 0.0000
0.0000 7.9191 0.3995
0.0000 -2.8970 6.9886
Ca Tl Ag Au
4 2 2 2
direct
0.7500 0.8762 0.6455
0.7500 0.7020 0.0357
0.2500 0.1238 0.3545
0.2500 0.2980 0.9643
0.2500 0.6845 0.3363
0.7500 0.3155 0.6637
0.2500 0.5443 0.6595
0.7500 0.4557 0.3405
0.2500 0.8970 0.9200
0.7500 0.1030 0.0800
```

N(E_F) in states/eV per atom: 0.5155
E in eV/atom: -2.97



3.
DyTi2AlIr4 | PBE-GGA | optimized geometry

POSCAR file:
```
DyTi2AlIr4
1.0
4.3725 0.0000 0.0000
2.1863 3.7867 0.0000
2.1863 1.2622 7.9626
Dy Ti Al Ir
1 2 1 4
direct
0.0000 0.0000 0.0000
0.7575 0.7575 0.7274
0.2425 0.2425 0.2726
0.5000 0.5000 0.5000
0.3953 0.3953 0.8141
0.8694 0.8694 0.3919
0.1306 0.1306 0.6081
0.6047 0.6047 0.1859
```

N(E_F) in states/eV per atom: 0.9103
E in eV/atom: -8.24



4.
Pm7Dy4Tm | PBE-GGA | optimized geometry

POSCAR file:
```
Pm7Dy4Tm
1.0
5.9713 0.0000 0.0000
2.9857 9.0918 1.9458
2.9857 1.8431 7.8578
Pm Dy Tm
7 4 1
direct
0.7899 0.8797 0.5404
0.2101 0.1203 0.4596
0.0827 0.5578 0.2767
0.9173 0.4422 0.7233
0.2085 0.7700 0.8131
0.5000 0.0000 0.0000
0.7915 0.2300 0.1869
0.5721 0.3022 0.5535
0.4279 0.6978 0.4465
0.6728 0.6112 0.0431
0.3272 0.3888 0.9569
0.0000 0.0000 0.0000
```

N(E_F) in states/eV per atom: 1.5858
E in eV/atom: -4.45